Below is a geometry-optimized P2RuSeN structure, with properties calculated at the PBE level.

Unit cell a=4.4869 b=4.5315 c=4.9052 alpha=62.31 beta=73.18 gamma=79.64
Element x y z (fractional)
1 P 0.9647 0.9577 0.7876
2 P 0.2354 0.1458 0.2821
3 N 0.6624 0.7594 0.8306
4 Ru 0.2307 0.7083 0.1661
5 Se 0.7419 0.5389 0.5713

## Properties
* DOS(E_F): 2.09 states/eV per cell
* total magnetic moment: 0.00 μB/f.u.
* uncorrected formation energy: 133 meV per atom
* SG: P1 (1)
* volume: 16.882 Å³ per atom